First-principles (PBE-GGA) data for a relaxed structure of PuThTc, as listed in Alexandria via LeMat-Bulk.

Results
total magnetization: 0.00 μB/cell
space-group type: C2/m (12)
formation enthalpy at 0 K: 0.3401 eV per atom

```
PuThTc
1.0
6.403 -1.655 0.000
6.403 1.655 0.000
-5.802 0.000 6.556
Pu Th Tc
2 2 2
direct
0.166 0.166 0.434
0.834 0.834 0.566
0.173 0.173 0.102
0.827 0.827 0.898
0.066 0.066 0.688
0.934 0.934 0.312
```

---

First-principles (PBE-GGA) data for a relaxed structure of Ti5Sn2N, as listed in Alexandria via LeMat-Bulk.

Results
E_form (uncorrected): -18.5 kJ per mole of atoms
total magnetization: 0.94 μB/cell
space-group type: Cmcm (63)

```
Ti5Sn2N
1.0
1.933 -7.784 0.000
1.933 7.784 0.000
0.000 0.000 10.599
Ti Sn N
10 4 2
direct
0.134 0.866 0.627
0.134 0.866 0.873
0.257 0.743 0.250
0.302 0.698 0.564
0.302 0.698 0.936
0.698 0.302 0.064
0.698 0.302 0.436
0.743 0.257 0.750
0.866 0.134 0.127
0.866 0.134 0.373
0.059 0.941 0.118
0.059 0.941 0.382
0.941 0.059 0.618
0.941 0.059 0.882
0.242 0.758 0.750
0.758 0.242 0.250
```

---

First-principles (PBE-GGA) data for a relaxed structure of Nd3Te2S2, as listed in Alexandria via LeMat-Bulk.

Results
E_form (uncorrected): -159.7 kJ per mole of atoms
total magnetization: 0.00 μB/cell
space-group type: C2/m (12)

```
Nd3Te2S2
1.0
8.551 -2.067 0.000
8.551 2.067 0.000
-0.523 0.000 6.439
Nd Te S
3 2 2
direct
0.000 0.000 0.000
0.179 0.179 0.730
0.821 0.821 0.270
0.177 0.177 0.238
0.823 0.823 0.762
0.429 0.429 0.227
0.571 0.571 0.773
```

---

First-principles (PBE-GGA) data for a relaxed structure of ScCuOs2, as listed in Alexandria via LeMat-Bulk.

Results
total magnetization: 0.00 μB/cell
space-group type: P2/m (10)
formation enthalpy at 0 K: 0.0927 eV per atom

```
ScCuOs2
1.0
2.805 0.000 0.000
0.000 4.507 0.000
-0.505 0.000 4.798
Sc Cu Os
1 1 2
direct
0.000 0.000 0.000
0.500 0.000 0.500
0.298 0.500 0.738
0.702 0.500 0.262
```

---

First-principles (PBE-GGA) data for a relaxed structure of Hf2TiCuHg, as listed in Alexandria via LeMat-Bulk.

Results
total magnetization: 0.00 μB/cell
space-group type: P4/mmm (123)
formation enthalpy at 0 K: 0.9014 eV per atom

```
Hf2TiCuHg
1.0
4.896 0.000 0.000
0.000 4.896 0.000
0.000 0.000 4.669
Hf Ti Cu Hg
2 1 1 1
direct
0.000 0.500 0.000
0.500 0.000 0.000
0.000 0.000 0.000
0.000 0.000 0.500
0.500 0.500 0.500
```

---

First-principles (PBE-GGA) data for a relaxed structure of PrYAs2, as listed in Alexandria via LeMat-Bulk.

Results
total magnetization: 0.00 μB/cell
space-group type: R-3m (166)
formation enthalpy at 0 K: -1.5218 eV per atom

```
PrYAs2
1.0
2.111 1.219 6.875
-2.111 1.219 6.875
0.000 -2.437 6.875
Pr Y As
1 1 2
direct
0.000 0.000 0.000
0.500 0.500 0.500
0.246 0.246 0.246
0.754 0.754 0.754
```

---

First-principles (PBE-GGA) data for a relaxed structure of Tl3FeSe, as listed in Alexandria via LeMat-Bulk.

Results
E_form (uncorrected): 29.2 kJ per mole of atoms
total magnetization: 2.28 μB/cell
space-group type: Pm-3m (221)

```
Tl3FeSe
1.0
5.197 0.000 0.000
0.000 5.197 0.000
0.000 0.000 5.197
Tl Fe Se
3 1 1
direct
0.000 0.000 0.500
0.000 0.500 0.000
0.500 0.000 0.000
0.000 0.000 0.000
0.500 0.500 0.500
```

---

First-principles (PBE-GGA) data for a relaxed structure of SmDy6Y2, as listed in Alexandria via LeMat-Bulk.

Results
total magnetization: 0.00 μB/cell
space-group type: P-3m1 (164)
formation enthalpy at 0 K: 0.2297 eV per atom

```
SmDy6Y2
1.0
7.397 0.000 0.000
-3.699 6.406 0.000
0.000 0.000 6.118
Sm Dy Y
1 6 2
direct
0.000 0.000 0.000
0.187 0.374 0.298
0.187 0.813 0.298
0.374 0.187 0.702
0.626 0.813 0.298
0.813 0.187 0.702
0.813 0.626 0.702
0.333 0.667 0.793
0.667 0.333 0.207
```

---

Q: total magnetization of number 7 (Tl3FeSe)?
A: 2.28 μB/cell